[1]
# NaPrSmCd (GGA-PBE, optimized geometry)
# Formation enthalpy at 0 K, kJ/mol of formula units: 2
# SG: F-43m
# E_tot, hartree per atom: -0.1076
data_NaPrSmCd
_chemical_formula_sum 'Na1 Pr1 Sm1 Cd1'
_cell_length_a 5.542
_cell_length_b 5.542
_cell_length_c 5.542
_cell_angle_alpha 60.00
_cell_angle_beta 60.00
_cell_angle_gamma 60.00
_space_group_name_H-M_alt 'P 1'
_space_group_IT_number 1
loop_
_space_group_symop_operation_xyz
'x,y,z'
loop_
_atom_site_label
_atom_site_fract_x
_atom_site_fract_y
_atom_site_fract_z
Na1 0.000 0.000 0.000
Pr1 0.750 0.750 0.750
Sm1 0.250 0.250 0.250
Cd1 0.500 0.500 0.500

***

[2]
# La2InOsPb (GGA-PBE, optimized geometry)
# Offset from the most stable computed form, eV per atom: 1.569
# Formation enthalpy at 0 K, kJ/mol of formula units: 632
# SG: P4/mmm
# E_tot, hartree per atom: -0.1542
data_La2InOsPb
_chemical_formula_sum 'La2 In1 Os1 Pb1'
_cell_length_a 5.904
_cell_length_b 5.904
_cell_length_c 5.220
_cell_angle_alpha 90.00
_cell_angle_beta 90.00
_cell_angle_gamma 90.00
_space_group_name_H-M_alt 'P 1'
_space_group_IT_number 1
loop_
_space_group_symop_operation_xyz
'x,y,z'
loop_
_atom_site_label
_atom_site_fract_x
_atom_site_fract_y
_atom_site_fract_z
La1 0.000 0.500 0.000
La2 0.500 0.000 0.000
In1 0.000 0.000 0.000
Os1 0.500 0.500 0.500
Pb1 0.000 0.000 0.500

***

[3]
# Mo2Ru (GGA-PBE, optimized geometry)
# Offset from the most stable computed form, eV per atom: 0.968
# Formation enthalpy at 0 K, kJ/mol of formula units: 282
# SG: Pa-3
# E_tot, hartree per atom: -0.3431
data_Mo2Ru
_chemical_formula_sum 'Mo8 Ru4'
_cell_length_a 5.995
_cell_length_b 5.995
_cell_length_c 5.995
_cell_angle_alpha 90.00
_cell_angle_beta 90.00
_cell_angle_gamma 90.00
_space_group_name_H-M_alt 'P 1'
_space_group_IT_number 1
loop_
_space_group_symop_operation_xyz
'x,y,z'
loop_
_atom_site_label
_atom_site_fract_x
_atom_site_fract_y
_atom_site_fract_z
Mo1 0.124 0.124 0.124
Mo2 0.124 0.376 0.624
Mo3 0.376 0.624 0.124
Mo4 0.376 0.876 0.624
Mo5 0.624 0.124 0.376
Mo6 0.624 0.376 0.876
Mo7 0.876 0.624 0.376
Mo8 0.876 0.876 0.876
Ru1 0.000 0.000 0.500
Ru2 0.000 0.500 0.000
Ru3 0.500 0.000 0.000
Ru4 0.500 0.500 0.500

***

Q: Look up the formation enthalpy at 0 K of the second one.
A: 632 kJ/mol of formula units

***

Q: Which value of E_tot does entry 2 give?
A: -0.1542 hartree per atom

***

Q: formation enthalpy at 0 K of number 2 (La2InOsPb)?
A: 632 kJ/mol of formula units